This record from Alexandria via LeMat-Bulk describes a PBEsol-optimized structure of CuAuBr4. The functional is meta-GGA SCAN.

Properties
Formation energy (no corrections) in eV/atom: 1.108
DOS at the Fermi energy in states/eV/atom: 0.467
Symmetry: No. 216

abc: 5.939 5.939 5.939
angles: 60.00 60.00 60.00
Sites, in units of the cell vectors:
1 Cu 0.750 0.750 0.750
2 Br 0.374 0.374 0.877
3 Br 0.877 0.374 0.374
4 Br 0.374 0.374 0.374
5 Au 0.000 0.000 0.000
6 Br 0.374 0.877 0.374